Entry 1:
{
  "formula": "PuZr2Tc",
  "functional": "PBE",
  "state": "relaxed",
  "spacegroup": "P4/mmm, No. 123",
  "polymorph_energy_mev_per_atom": 0,
  "lattice_angstrom": [[3.285, 0.000, 0.000], [0.000, 3.285, 0.000], [0.000, 0.000, 7.829]],
  "species": ["Tc", "Zr", "Zr", "Pu"],
  "fractional_positions": [[0.500, 0.500, 0.000], [0.000, 0.000, 0.794], [0.000, 0.000, 0.206], [0.500, 0.500, 0.500]]
}



Entry 2:
{
  "formula": "Cu2POs",
  "functional": "PBE",
  "state": "relaxed",
  "final_energy_ev_per_atom": -5.950,
  "spacegroup": "Pmmm, No. 47",
  "lattice_angstrom": [[-2.909, -0.226, -0.666], [0.235, -3.899, 0.294], [-0.988, 0.259, 4.225]],
  "species": ["Cu", "Cu", "Os", "P"],
  "fractional_positions": [[0.000, 0.000, 0.000], [0.500, 0.500, 0.000], [0.500, 0.000, 0.500], [0.000, 0.500, 0.500]]
}